This record from Alexandria via LeMat-Bulk describes a relaxed structure of Li2TlZnRh. The functional is PBE.

Cell: 4.4133 5.0275 4.4133 Å, 90.00 90.00 90.00°
With the nearest neighbours (Å) after each atom.
Atoms (fractional coordinates):
Li (0.5000, 0.0000, 0.0000)  2 Zn 2.21
Li (0.0000, 0.0000, 0.5000)  2 Zn 2.21
Rh (0.5000, 0.5000, 0.5000)  4 Tl 3.12, 8 Li 3.34
Tl (0.0000, 0.5000, 0.0000)  2 Zn 2.51
Zn (0.0000, 0.0000, 0.0000)  4 Li 2.21

Calculated values
Magnetic moment   0.00 μB/f.u.
Formation energy   0.54 eV/atom
E_tot   -12.1 eV for the cell shown
Space group   P4/mmm (123)


This record from Alexandria via LeMat-Bulk describes a relaxed structure of LiTm3Rh2. The functional is PBE.

Cell: 3.4172 3.4172 10.9641 Å, 90.00 90.00 90.00°
With the nearest neighbours (Å) after each atom.
Atoms (fractional coordinates):
Rh (0.5000, 0.5000, 0.8408)  8 Tm 2.87-2.98
Rh (0.5000, 0.5000, 0.1592)  8 Tm 2.87-2.98
Tm (0.0000, 0.0000, 0.6996)  4 Rh 2.87
Tm (0.0000, 0.0000, 0.0000)  8 Rh 2.98, 2 Tm 3.29
Tm (0.0000, 0.0000, 0.3004)  4 Rh 2.87
Li (0.5000, 0.5000, 0.5000)  8 Tm 3.26, 4 Li 3.42

Calculated values
Magnetic moment   0.00 μB/f.u.
Formation energy   -0.63 eV/atom
E_tot   -33.8 eV for the cell shown
Space group   P4/mmm (123)
Energy above the most stable polymorph in this dataset   0.062 eV/atom